# 1
The following is a PBE-GGA calculation of an optimized crystal structure of TaTcH3, from Alexandria.

Cell: 3.467 3.467 3.467 Å, 90.00 90.00 90.00°
Fractional coordinates of all 5 atoms:
Ta 0.000 0.000 0.000
Tc 0.500 0.500 0.500
H 0.000 0.500 0.500
H 0.500 0.000 0.500
H 0.500 0.500 0.000

Computed properties:
Its volume is 42 Å³ per cell. As for the density: 11.2 Mg/m³. Its energy above the lowest structure with this stoichiometry is 0.000 eV/atom. For the total energy, the calculation gives -0.454 Ry per atom.

---

# 2
The following is a PBE-GGA calculation of an optimized crystal structure of Al2TcCl, from Alexandria.

Cell: 8.138 8.138 8.138 Å, 21.72 21.72 21.72°
Fractional coordinates of all 4 atoms:
Al 0.245 0.245 0.245
Al 0.755 0.755 0.755
Tc 0.500 0.500 0.500
Cl 0.000 0.000 0.000

Computed properties:
Its volume is 65 Å³ per cell. The calculation puts the raw formation energy at -0.297 eV per atom. As for the density: 4.8 Mg/m³. Its energy above the lowest structure with this stoichiometry is 0.125 eV/atom. For the total energy, the calculation gives -0.384 Ry per atom.

---

# 3
The following is a PBE-GGA calculation of an optimized crystal structure of TbPm6Er12, from Alexandria.

Cell: 8.615 8.615 8.615 Å, 79.67 79.67 79.67°
Fractional coordinates of all 19 atoms:
Tb 0.000 0.000 0.000
Pm 0.163 0.768 0.768
Pm 0.232 0.232 0.837
Pm 0.232 0.837 0.232
Pm 0.768 0.163 0.768
Pm 0.768 0.768 0.163
Pm 0.837 0.232 0.232
Er 0.137 0.137 0.485
Er 0.137 0.485 0.137
Er 0.196 0.514 0.514
Er 0.485 0.137 0.137
Er 0.486 0.486 0.804
Er 0.486 0.804 0.486
Er 0.514 0.196 0.514
Er 0.514 0.514 0.196
Er 0.515 0.863 0.863
Er 0.804 0.486 0.486
Er 0.863 0.515 0.863
Er 0.863 0.863 0.515

Computed properties:
Its volume is 612 Å³ per cell. The energy relative to the elements comes out at 0.122 eV/atom. As for the density: 8.2 Mg/m³. Its energy above the lowest structure with this stoichiometry is 0.000 eV/atom. For the total energy, the calculation gives -0.331 Ry per atom.

---

# 4
The following is a PBE-GGA calculation of an optimized crystal structure of ZnSi2Ge2, from Alexandria.

Cell: 7.526 7.526 7.526 Å, 152.45 152.45 39.35°
Fractional coordinates of all 5 atoms:
Zn 0.000 0.000 0.000
Si 0.250 0.750 0.500
Si 0.750 0.250 0.500
Ge 0.394 0.394 0.000
Ge 0.606 0.606 0.000

Computed properties:
Its volume is 91 Å³ per cell. The calculation puts the raw formation energy at 0.358 eV per atom. As for the density: 4.9 Mg/m³. Its energy above the lowest structure with this stoichiometry is 0.000 eV/atom. For the total energy, the calculation gives -0.288 Ry per atom.

---

# 5
The following is a PBE-GGA calculation of an optimized crystal structure of CSeS3, from Alexandria.

Cell: 4.767 4.767 4.767 Å, 90.00 90.00 90.00°
Fractional coordinates of all 5 atoms:
C 0.000 0.000 0.000
Se 0.500 0.500 0.500
S 0.000 0.500 0.500
S 0.500 0.000 0.500
S 0.500 0.500 0.000

Computed properties:
Its volume is 108 Å³ per cell. The calculation puts the raw formation energy at 2.130 eV per atom. As for the density: 2.9 Mg/m³. Its energy above the lowest structure with this stoichiometry is 0.783 eV/atom. For the total energy, the calculation gives -0.212 Ry per atom.

---

# 6
The following is a PBE-GGA calculation of an optimized crystal structure of Pm3NdCo, from Alexandria.

Cell: 7.958 7.628 10.086 Å, 90.00 106.69 90.00°
Fractional coordinates of all 20 atoms:
Pm 0.070 0.130 0.386
Pm 0.070 0.370 0.886
Pm 0.211 0.001 0.114
Pm 0.211 0.499 0.614
Pm 0.408 0.698 0.967
Pm 0.408 0.802 0.467
Pm 0.592 0.198 0.533
Pm 0.592 0.302 0.033
Pm 0.789 0.501 0.386
Pm 0.789 0.999 0.886
Pm 0.930 0.630 0.114
Pm 0.930 0.870 0.614
Nd 0.319 0.058 0.751
Nd 0.319 0.442 0.251
Nd 0.681 0.558 0.749
Nd 0.681 0.942 0.249
Co 0.052 0.743 0.396
Co 0.052 0.757 0.896
Co 0.948 0.243 0.104
Co 0.948 0.257 0.604

Computed properties:
Its volume is 586 Å³ per cell. The energy relative to the elements comes out at 0.028 eV/atom. As for the density: 7.2 Mg/m³. Its energy above the lowest structure with this stoichiometry is 0.088 eV/atom. For the total energy, the calculation gives -0.382 Ry per atom.

---

# 7
The following is a PBE-GGA calculation of an optimized crystal structure of Li6Cd5Sn, from Alexandria.

Cell: 8.183 8.183 4.695 Å, 106.59 106.59 120.10°
Fractional coordinates of all 12 atoms:
Li 0.082 0.417 0.749
Li 0.248 0.248 0.249
Li 0.417 0.082 0.749
Li 0.583 0.918 0.251
Li 0.752 0.752 0.751
Li 0.918 0.583 0.251
Cd 0.168 0.832 0.000
Cd 0.336 0.664 0.500
Cd 0.500 0.500 0.000
Cd 0.664 0.336 0.500
Cd 0.832 0.168 0.000
Sn 0.000 0.000 0.500

Computed properties:
Its volume is 223 Å³ per cell. The energy relative to the elements comes out at -0.277 eV/atom. As for the density: 5.4 Mg/m³. For the total energy, the calculation gives -0.143 Ry per atom.

---

# 8
The following is a PBE-GGA calculation of an optimized crystal structure of KInSnCl4, from Alexandria.

Cell: 8.916 8.916 8.916 Å, 143.57 143.57 52.48°
Fractional coordinates of all 7 atoms:
K 0.000 0.000 0.000
In 0.281 0.281 0.000
Sn 0.635 0.635 0.000
Cl 0.119 0.619 0.500
Cl 0.449 0.449 0.000
Cl 0.619 0.119 0.500
Cl 0.805 0.805 0.000

Computed properties:
Its volume is 248 Å³ per cell. The calculation puts the raw formation energy at -1.188 eV per atom. As for the density: 2.8 Mg/m³. For the total energy, the calculation gives -0.247 Ry per atom.

---

Repeat the seventh record exactly.
The following is a PBE-GGA calculation of an optimized crystal structure of Li6Cd5Sn, from Alexandria.

Cell: 8.183 8.183 4.695 Å, 106.59 106.59 120.10°
Fractional coordinates of all 12 atoms:
Li 0.082 0.417 0.749
Li 0.248 0.248 0.249
Li 0.417 0.082 0.749
Li 0.583 0.918 0.251
Li 0.752 0.752 0.751
Li 0.918 0.583 0.251
Cd 0.168 0.832 0.000
Cd 0.336 0.664 0.500
Cd 0.500 0.500 0.000
Cd 0.664 0.336 0.500
Cd 0.832 0.168 0.000
Sn 0.000 0.000 0.500

Computed properties:
Its volume is 223 Å³ per cell. The energy relative to the elements comes out at -0.277 eV/atom. As for the density: 5.4 Mg/m³. For the total energy, the calculation gives -0.143 Ry per atom.